No. 1
## Y2BPtI (PBE-GGA)

Data for Y2BPtI after structural relaxation.

The space group is P4/mmm (No. 123) and the conventional cell measures 5.5766, 5.5766 and 4.9092 Å, with angles of 90.00, 90.00 and 90.00 degrees. Symmetry generates all atoms from Y at (0.0000, 0.5000, 0.0000), B at (0.0000, 0.0000, 0.5000), Pt at (0.5000, 0.5000, 0.5000) and I at (0.5000, 0.5000, 0.0000).

Its total energy is -4.305 eV/atom.

No. 2
## Y5Ho4Er (PBE-GGA)

Data for Y5Ho4Er after structural relaxation.

The space group is I4 (No. 79) and the conventional cell measures 10.1945, 10.1945 and 6.2745 Å, with angles of 90.00, 90.00 and 90.00 degrees. Symmetry generates all atoms from Y at (0.0000, 0.0000, 0.0000), Y at (0.1466, 0.7670, 0.2744), Ho at (0.0484, 0.6516, 0.7722) and Er at (0.0000, 0.0000, 0.5406).

The calculation puts the formation energy at 0.312 eV per atom.

No. 3
## Mg2VN3 (PBE-GGA)

Data for Mg2VN3 after structural relaxation.

The space group is Cmc2_1 (No. 36) and the conventional cell measures 9.9296, 5.8262 and 5.1094 Å, with angles of 90.00, 90.00 and 90.00 degrees. Symmetry generates all atoms from Mg at (0.1649, 0.1664, 0.0000), V at (0.0000, 0.3367, 0.4956), N at (0.0000, 0.3638, 0.1318) and N at (0.1486, 0.1836, 0.5844).

Its total energy is -7.171 eV/atom.

No. 4
## Rb3YZn (PBE-GGA)

Data for Rb3YZn after structural relaxation.

The space group is Pm-3m (No. 221) and the conventional cell measures 7.7453, 7.7453 and 7.7453 Å, with angles of 90.00, 90.00 and 90.00 degrees. Symmetry generates all atoms from Rb at (0.0000, 0.0000, 0.5000), Y at (0.0000, 0.0000, 0.0000) and Zn at (0.5000, 0.5000, 0.5000).

For the offset from the most stable computed form, the calculation gives 269 meV per atom. The calculation puts the formation energy at 0.941 eV per atom.

No. 5
## Ca3MgZr (PBE-GGA)

Data for Ca3MgZr after structural relaxation.

The space group is Pm-3m (No. 221) and the conventional cell measures 5.8240, 5.8240 and 5.8240 Å, with angles of 90.00, 90.00 and 90.00 degrees. Symmetry generates all atoms from Ca at (0.0000, 0.0000, 0.5000), Mg at (0.0000, 0.0000, 0.0000) and Zr at (0.5000, 0.5000, 0.5000).

For the offset from the most stable computed form, the calculation gives 0 meV per atom. The calculation puts the formation energy at 0.833 eV per atom.

No. 6
## NbInO2F (PBE-GGA)

Data for NbInO2F after structural relaxation.

The space group is P4/mmm (No. 123) and the conventional cell measures 3.8781, 3.8781 and 6.1350 Å, with angles of 90.00, 90.00 and 90.00 degrees. Symmetry generates all atoms from Nb at (0.0000, 0.0000, 0.0000), In at (0.0000, 0.0000, 0.5000), O at (0.0000, 0.5000, 0.0000) and F at (0.5000, 0.5000, 0.5000).

Its total energy is -6.692 eV/atom.

No. 7
## Ir2RuSe (PBE-GGA)

Data for Ir2RuSe after structural relaxation.

The space group is P4/mmm (No. 123) and the conventional cell measures 2.8122, 2.8122 and 7.6745 Å, with angles of 90.00, 90.00 and 90.00 degrees. Symmetry generates all atoms from Ir at (0.0000, 0.0000, 0.2385), Ru at (0.5000, 0.5000, 0.0000) and Se at (0.5000, 0.5000, 0.5000).

Its total energy is -7.277 eV/atom.

No. 8
## Ce2Tm2In3 (PBE-GGA)

Data for Ce2Tm2In3 after structural relaxation.

The space group is Cmmm (No. 65) and the conventional cell measures 4.5082, 23.8658 and 3.3633 Å, with angles of 90.00, 90.00 and 90.00 degrees. Symmetry generates all atoms from Ce at (0.0000, 0.2148, 0.0000), Tm at (0.0000, 0.0711, 0.0000), In at (0.0000, 0.3592, 0.5000) and In at (0.0000, 0.5000, 0.5000).

The calculation puts the formation energy at -0.316 eV per atom.